i:
Below is crystalline InCo2Hg2 at its relaxed geometry, with properties calculated at the PBE level.

a b c (Å): 9.3673 9.3673 9.3673
angles (deg): 159.63 159.63 28.96
With the nearest neighbours (Å) after each atom.
Fractional coordinates of all 5 atoms:
In  0.0000  0.0000  0.0000  8 Hg 3.27, 4 In 3.31
Co  0.2500  0.7500  0.5000  4 Co 2.34
Co  0.7500  0.2500  0.5000  4 Co 2.34
Hg  0.3745  0.3745  0.0000  4 Co 2.80
Hg  0.6255  0.6255  0.0000  4 Co 2.80

Output
**SG**: I4/mmm


ii:
Below is crystalline InCo2Hg2 at its relaxed geometry, with properties calculated at the PBE level.

a b c (Å): 6.6247 6.6247 4.0346
angles (deg): 90.00 90.00 90.00
With the nearest neighbours (Å) after each atom.
Fractional coordinates of all 10 atoms:
In  0.0000  0.0000  0.0000  4 Co 2.62
In  0.5000  0.5000  0.0000  4 Co 2.62
Co  0.1246  0.3754  0.0000  1 Co 2.34
Co  0.3754  0.8754  0.0000  1 Co 2.34
Co  0.6246  0.1246  0.0000  1 Co 2.34
Co  0.8754  0.6246  0.0000  1 Co 2.34
Hg  0.1684  0.6684  0.5000  6 Co 2.80-2.81
Hg  0.3316  0.1684  0.5000  6 Co 2.80-2.81
Hg  0.6684  0.8316  0.5000  6 Co 2.80-2.81
Hg  0.8316  0.3316  0.5000  6 Co 2.80-2.81

Output
**SG**: P4/mbm


Relative energy of each structure, in meV/atom: i 41; ii 0.